# V4Mo3 (GGA-PBE, optimized geometry)
# **E above lowest polymorph**: 0.000 eV per atom
# **Theoretical density**: 8.09 g cm⁻³
# **Energy of formation**: -0.13 eV/atom
# **Electronic total energy**: -9.98 eV per atom
data_V4Mo3
_cell_length_a 7.4932
_cell_length_b 4.3135
_cell_length_c 6.7208
_cell_angle_alpha 90.00
_cell_angle_beta 111.68
_cell_angle_gamma 90.00
_space_group_name_H-M_alt 'C 1 2/m 1'
_space_group_IT_number 12
loop_
_space_group_symop_operation_xyz
'x,y,z'
'-x,-y,-z'
'-x,y,-z'
'x,-y,z'
'x+1/2,y+1/2,z'
'-x+1/2,-y+1/2,-z'
'-x+1/2,y+1/2,-z'
'x+1/2,-y+1/2,z'
loop_
_atom_site_label
_atom_site_fract_x
_atom_site_fract_y
_atom_site_fract_z
V1 0.1412 0.0000 0.4244
V2 0.2146 0.5000 0.1432
Mo1 0.0000 0.0000 0.0000
Mo2 0.0704 0.5000 0.7108